# PmEr2N3

PmEr2N3 after structural relaxation (PBE, the Open Quantum Materials Database).

## Properties
The electronic total energy comes out at -8.1217 eV/atom.

a b c (Å): 3.473 3.473 8.513
angles (deg): 90.00 90.00 120.00
Sites, in units of the cell vectors:
Pm: 0.000 0.000 0.000
Er: 0.333 0.667 0.338
Er: 0.667 0.333 0.662
N: 0.000 0.000 0.500
N: 0.333 0.667 0.822
N: 0.667 0.333 0.178